A plane-wave DFT calculation with PBE was carried out for an optimized crystal structure of Pr12SmHo7.

Cell lengths 19.7188, 19.7188, 6.2804 Å; angles 90.00, 90.00, 120.00 degrees
Space group R-3 (No. 148, hexagonal axes)
Inequivalent atoms, fractional coordinates:
Pr 0.0003 0.4119 0.0005 (multiplicity 18)
Pr 0.0978 0.5494 0.4693 (multiplicity 18)
Sm 0.0000 0.0000 0.5000 (multiplicity 3)
Ho 0.0000 0.0000 0.0000 (multiplicity 3)
Ho 0.0812 0.9178 0.2945 (multiplicity 18)

Output
**Total energy**: -4.473 eV/atom
**Energy of formation**: 233 meV/atom
**Fermi-level density of states**: 1.430 states/eV/atom
**Total magnetization**: 0.00 μB/cell
**Energy relative to the lowest polymorph listed for this composition**: 89 meV/atom
**Crystal system**: trigonal

---

A plane-wave DFT calculation with PBE was carried out for an optimized crystal structure of PrSm5Ho4.

Cell lengths 3.5969, 9.4982, 10.1618 Å; angles 74.21, 89.94, 79.09 degrees
Space group P-1 (No. 2)
Inequivalent atoms, fractional coordinates:
Pr 0.0000 0.0000 0.0000 (multiplicity 1)
Sm 0.0000 0.0000 0.5000 (multiplicity 1)
Sm 0.2008 0.5994 0.6002 (multiplicity 2)
Sm 0.3982 0.2025 0.1991 (multiplicity 2)
Ho 0.2005 0.5994 0.1002 (multiplicity 2)
Ho 0.3987 0.2022 0.6999 (multiplicity 2)

Output
**Total energy**: -4.652 eV/atom
**Energy of formation**: 17 meV/atom
**Fermi-level density of states**: 1.286 states/eV/atom
**Total magnetization**: 0.00 μB/cell
**Energy relative to the lowest polymorph listed for this composition**: 0 meV/atom
**Crystal system**: triclinic

---

A plane-wave DFT calculation with PBE was carried out for an optimized crystal structure of PrSm2Ho4.

Cell lengths 16.8001, 3.5491, 8.8005 Å; angles 90.00, 119.70, 90.00 degrees
Space group C2/m (No. 12)
Inequivalent atoms, fractional coordinates:
Pr 0.0000 0.0000 0.0000 (multiplicity 2)
Sm 0.0694 0.0000 0.4287 (multiplicity 4)
Ho 0.1457 0.5000 0.8411 (multiplicity 4)
Ho 0.2068 0.5000 0.2940 (multiplicity 4)

Output
**Total energy**: -4.607 eV/atom
**Energy of formation**: 40 meV/atom
**Fermi-level density of states**: 1.352 states/eV/atom
**Total magnetization**: 0.00 μB/cell
**Energy relative to the lowest polymorph listed for this composition**: 0 meV/atom
**Crystal system**: monoclinic